No. 1
Below is KFe2Ag after structural relaxation, with properties calculated at the GGA-PBEsol level.

a b c (Å): 8.0413 2.7517 7.2295
angles (deg): 90.00 96.08 90.00
Last column: nearest neighbours and their distance in Å.
Space group Cm (No. 8)
Unique sites:
K (0.0000, 0.0000, 0.0000) (multiplicity 2)  2 K 2.75
Fe (0.2762, 0.5000, 0.3531) (multiplicity 2)  3 Fe 2.25-2.44
Fe (0.4921, 0.0000, 0.4417) (multiplicity 2)  3 Fe 2.25-2.44
Ag (0.2281, 0.0000, 0.6564) (multiplicity 2)  5 Fe 2.65-2.76, 2 Ag 2.75

Output
* offset from the most stable computed form: 14.2 kJ per mole of atoms
* spin magnetization: 9.51 μB/cell
* DFT formation energy: 72.9 kJ/mol of atoms



No. 2
Below is K2FeAg after structural relaxation, with properties calculated at the GGA-PBEsol level.

a b c (Å): 4.1787 5.6066 10.5757
angles (deg): 90.00 90.00 90.00
Last column: nearest neighbours and their distance in Å.
Space group Imm2 (No. 44)
Unique sites:
K (0.0000, 0.0000, 0.0000) (multiplicity 2)  4 K 3.54-3.77, 4 Ag 3.62-3.65, 4 Fe 3.63
K (0.0000, 0.5000, 0.2038) (multiplicity 2)  4 K 3.54-3.77, 4 Fe 3.54-3.76, 4 Ag 3.59
Fe (0.0000, 0.0000, 0.4078) (multiplicity 2)  2 Ag 2.49
Ag (0.0000, 0.5000, 0.7791) (multiplicity 2)  2 Fe 2.49

Output
* offset from the most stable computed form: 0.0 kJ per mole of atoms
* spin magnetization: 6.01 μB/cell
* DFT formation energy: 77.0 kJ/mol of atoms



No. 3
Below is KFeAg2 after structural relaxation, with properties calculated at the GGA-PBEsol level.

a b c (Å): 4.7587 4.7587 7.1090
angles (deg): 90.00 90.00 90.00
Last column: nearest neighbours and their distance in Å.
Space group I4/mmm (No. 139)
Unique sites:
K (0.0000, 0.0000, 0.0000) (multiplicity 2)  8 Ag 2.97
Fe (0.0000, 0.0000, 0.5000) (multiplicity 2)  8 Ag 2.97
Ag (0.0000, 0.5000, 0.2500) (multiplicity 4)  4 Fe 2.97, 4 K 2.97

Output
* offset from the most stable computed form: 24.3 kJ per mole of atoms
* spin magnetization: 6.24 μB/cell
* DFT formation energy: 84.6 kJ/mol of atoms



No. 4
Below is K2FeAg after structural relaxation, with properties calculated at the GGA-PBEsol level.

a b c (Å): 3.0946 3.0946 10.5243
angles (deg): 90.00 90.00 90.00
Last column: nearest neighbours and their distance in Å.
Space group P4/mmm (No. 123)
Unique sites:
K (0.0000, 0.0000, 0.2486) (multiplicity 2)  4 K 3.09, 4 Ag 3.41, 4 Fe 3.43
Fe (0.5000, 0.5000, 0.5000) (multiplicity 1)  4 Fe 3.09, 8 K 3.43
Ag (0.5000, 0.5000, 0.0000) (multiplicity 1)  4 Ag 3.09, 8 K 3.41

Output
* offset from the most stable computed form: 14.0 kJ per mole of atoms
* spin magnetization: 2.69 μB/cell
* DFT formation energy: 91.0 kJ/mol of atoms



No. 5
Below is KFeAg2 after structural relaxation, with properties calculated at the GGA-PBEsol level.

a b c (Å): 2.9198 2.9198 29.9851
angles (deg): 90.00 90.00 120.00
Last column: nearest neighbours and their distance in Å.
Space group R-3m (No. 166, hexagonal axes)
Unique sites:
K (0.0000, 0.0000, 0.0000) (multiplicity 3)  6 K 2.92
Fe (0.0000, 0.0000, 0.5000) (multiplicity 3)  6 Ag 2.71, 6 Fe 2.92
Ag (0.0000, 0.0000, 0.2373) (multiplicity 6)  3 Fe 2.71, 6 Ag 2.92

Output
* offset from the most stable computed form: 0.0 kJ per mole of atoms
* spin magnetization: 8.52 μB/cell
* DFT formation energy: 60.4 kJ/mol of atoms



No. 6
Below is LaFe2Ag after structural relaxation, with properties calculated at the GGA-PBEsol level.

a b c (Å): 3.3729 3.3714 6.3666
angles (deg): 90.00 90.35 90.00
Last column: nearest neighbours and their distance in Å.
Space group P2/m (No. 10)
Unique sites:
La (0.0000, 0.0000, 0.0000) (multiplicity 1)  8 Fe 3.13-3.15, 2 Ag 3.18, 4 La 3.37
Fe (0.4980, 0.5000, 0.3198) (multiplicity 2)  1 Fe 2.29
Ag (0.0000, 0.0000, 0.5000) (multiplicity 1)  8 Fe 2.65

Output
* spin magnetization: 4.82 μB/cell
* DFT formation energy: 43.9 kJ/mol of atoms



No. 7
Below is LaFeAg3 after structural relaxation, with properties calculated at the GGA-PBEsol level.

a b c (Å): 4.8155 4.8155 4.8155
angles (deg): 90.00 90.00 90.00
Last column: nearest neighbours and their distance in Å.
Space group Pm-3m (No. 221)
Unique sites:
La (0.0000, 0.0000, 0.0000) (multiplicity 1)  12 Ag 3.41
Fe (0.5000, 0.5000, 0.5000) (multiplicity 1)  6 Ag 2.41
Ag (0.0000, 0.5000, 0.5000) (multiplicity 3)  2 Fe 2.41

Output
* spin magnetization: 2.45 μB/cell
* DFT formation energy: 40.9 kJ/mol of atoms



No. 8
Below is LiFeAg after structural relaxation, with properties calculated at the GGA-PBEsol level.

a b c (Å): 5.9109 5.9109 5.9109
angles (deg): 90.00 90.00 90.00
Last column: nearest neighbours and their distance in Å.
Space group F-43m (No. 216)
Unique sites:
Li (0.0000, 0.0000, 0.0000) (multiplicity 4)  4 Ag 2.56
Fe (0.0000, 0.0000, 0.5000) (multiplicity 4)  4 Ag 2.56
Ag (0.2500, 0.2500, 0.2500) (multiplicity 4)  4 Fe 2.56, 4 Li 2.56

Output
* spin magnetization: 11.80 μB/cell
* DFT formation energy: 69.2 kJ/mol of atoms



Copy entry 5 word for word.
Below is KFeAg2 after structural relaxation, with properties calculated at the GGA-PBEsol level.

a b c (Å): 2.9198 2.9198 29.9851
angles (deg): 90.00 90.00 120.00
Last column: nearest neighbours and their distance in Å.
Space group R-3m (No. 166, hexagonal axes)
Unique sites:
K (0.0000, 0.0000, 0.0000) (multiplicity 3)  6 K 2.92
Fe (0.0000, 0.0000, 0.5000) (multiplicity 3)  6 Ag 2.71, 6 Fe 2.92
Ag (0.0000, 0.0000, 0.2373) (multiplicity 6)  3 Fe 2.71, 6 Ag 2.92

Output
* offset from the most stable computed form: 0.0 kJ per mole of atoms
* spin magnetization: 8.52 μB/cell
* DFT formation energy: 60.4 kJ/mol of atoms